Record 1
Below is a relaxed LiCu3H crystal, with properties calculated at the GGA-PBE level.

Structure (POSCAR):
```
LiCu3H
1.0
-1.159 3.968 0.111
-0.275 0.035 -4.126
-3.960 -1.164 0.254
H Cu Li
1 3 1
Direct
0.500 0.500 0.500 H
0.000 0.500 0.000 Cu
0.000 0.000 0.500 Cu
0.500 0.000 0.000 Cu
0.000 0.000 0.000 Li
```

Energy relative to the lowest polymorph listed for this composition in meV/atom: 1173
Size of the total moment in Bohr magnetons per cell: 0.0
Space-group type: No. 221
VASP energy in eV/atom: -2.2855
Calculated density in g/cm3: 4.663

***

Record 2
Below is a relaxed LiCuH2 crystal, with properties calculated at the GGA-PBE level.

Structure (POSCAR):
```
LiCuH2
1.0
-1.062 -2.548 0.070
-0.349 -1.284 2.419
-4.863 0.563 1.173
Li Cu H
1 1 2
Direct
0.488 0.488 0.535 Li
0.666 0.666 0.003 Cu
0.080 0.080 0.760 H
0.266 0.266 0.202 H
```

Energy relative to the lowest polymorph listed for this composition in meV/atom: 165
Size of the total moment in Bohr magnetons per cell: 0.0
Space-group type: No. 160
VASP energy in eV/atom: -3.2051
Calculated density in g/cm3: 3.819

***

Record 3
Below is a relaxed Li2CuH crystal, with properties calculated at the GGA-PBE level.

Structure (POSCAR):
```
Li2CuH
1.0
0.000 2.931 2.931
2.931 0.000 2.931
2.931 2.931 0.000
H Cu Li
1 1 2
Direct
0.000 0.000 0.000 H
0.500 0.500 0.500 Cu
0.250 0.250 0.250 Li
0.750 0.750 0.750 Li
```

Energy relative to the lowest polymorph listed for this composition in meV/atom: 474
Size of the total moment in Bohr magnetons per cell: 0.0
Space-group type: No. 225
VASP energy in eV/atom: -2.5354
Calculated density in g/cm3: 2.586

***

Record 4
Below is a relaxed Li2CuH4 crystal, with properties calculated at the GGA-PBE level.

Structure (POSCAR):
```
Li2CuH4
1.0
-3.668 -2.843 1.583
2.716 -1.251 -3.887
3.729 -2.850 3.522
Li Cu H
4 2 8
Direct
0.500 0.500 0.500 Li
0.818 0.182 0.250 Li
0.500 0.500 0.000 Li
0.182 0.818 0.750 Li
0.872 0.128 0.750 Cu
0.128 0.872 0.250 Cu
0.261 0.247 0.250 H
0.753 0.739 0.250 H
0.265 0.735 0.430 H
0.739 0.753 0.750 H
0.265 0.735 0.070 H
0.247 0.261 0.750 H
0.735 0.265 0.570 H
0.735 0.265 0.930 H
```

Energy relative to the lowest polymorph listed for this composition in meV/atom: 87
Size of the total moment in Bohr magnetons per cell: 0.0
Space-group type: No. 63
VASP energy in eV/atom: -3.0781
Calculated density in g/cm3: 2.248

***

Record 5
Below is a relaxed Li3CuH3 crystal, with properties calculated at the GGA-PBE level.

Structure (POSCAR):
```
Li3CuH3
1.0
3.940 0.000 0.000
0.000 5.467 -0.420
0.000 0.591 5.452
Li Cu H
6 2 6
Direct
0.750 0.618 0.864 Li
0.750 0.125 0.875 Li
0.750 0.136 0.382 Li
0.250 0.382 0.136 Li
0.250 0.875 0.125 Li
0.250 0.864 0.618 Li
0.250 0.377 0.623 Cu
0.750 0.623 0.377 Cu
0.250 0.613 0.866 H
0.250 0.142 0.858 H
0.250 0.134 0.387 H
0.750 0.387 0.134 H
0.750 0.858 0.142 H
0.750 0.866 0.613 H
```

Size of the total moment in Bohr magnetons per cell: 0.0
Space-group type: No. 63
VASP energy in eV/atom: -3.0691
Calculated density in g/cm3: 2.451

***

Record 6
Below is a relaxed Li2CuH4 crystal, with properties calculated at the GGA-PBE level.

Structure (POSCAR):
```
Li2CuH4
1.0
5.194 0.000 -1.018
0.000 4.431 0.000
-3.009 0.000 5.845
Li Cu H
4 2 8
Direct
0.695 0.750 0.081 Li
0.305 0.250 0.919 Li
0.304 0.250 0.386 Li
0.696 0.750 0.614 Li
0.233 0.750 0.117 Cu
0.767 0.250 0.883 Cu
0.496 0.479 0.248 H
0.183 0.750 0.857 H
0.817 0.250 0.143 H
0.496 0.021 0.248 H
0.819 0.250 0.674 H
0.504 0.979 0.752 H
0.504 0.521 0.752 H
0.181 0.750 0.326 H
```

Energy relative to the lowest polymorph listed for this composition in meV/atom: 39
Size of the total moment in Bohr magnetons per cell: 0.0
Space-group type: No. 63
VASP energy in eV/atom: -3.1263
Calculated density in g/cm3: 2.237

***

Record 7
Below is a relaxed Li2CuH2 crystal, with properties calculated at the GGA-PBE level.

Structure (POSCAR):
```
Li2CuH2
1.0
5.521 0.000 0.000
0.000 5.521 0.000
0.000 0.000 2.891
H Cu Li
4 2 4
Direct
0.324 0.824 0.000 H
0.824 0.676 0.000 H
0.676 0.176 0.000 H
0.176 0.324 0.000 H
0.000 0.000 0.000 Cu
0.500 0.500 0.000 Cu
0.163 0.663 0.500 Li
0.663 0.837 0.500 Li
0.837 0.337 0.500 Li
0.337 0.163 0.500 Li
```

Size of the total moment in Bohr magnetons per cell: 0.0
Space-group type: No. 127
VASP energy in eV/atom: -2.9753
Calculated density in g/cm3: 2.995

***

Record 8
Below is a relaxed Li2CuH crystal, with properties calculated at the GGA-PBE level.

Structure (POSCAR):
```
Li2CuH
1.0
5.545 0.000 0.000
0.000 5.545 0.000
2.773 2.773 3.200
H Cu Li
2 2 4
Direct
0.500 0.500 0.000 H
0.250 0.750 0.500 H
0.000 0.000 0.000 Cu
0.750 0.250 0.500 Cu
0.505 0.125 0.250 Li
0.245 0.625 0.250 Li
0.375 0.495 0.750 Li
0.875 0.755 0.750 Li
```

Energy relative to the lowest polymorph listed for this composition in meV/atom: 196
Size of the total moment in Bohr magnetons per cell: 0.0
Space-group type: No. 122
VASP energy in eV/atom: -2.8136
Calculated density in g/cm3: 2.647

***

Record 9
Below is a relaxed LiCuH2 crystal, with properties calculated at the GGA-PBE level.

Structure (POSCAR):
```
LiCuH2
1.0
0.000 2.483 2.483
2.483 0.000 2.483
2.483 2.483 0.000
H Cu Li
2 1 1
Direct
0.250 0.250 0.250 H
0.750 0.750 0.750 H
0.500 0.500 0.500 Cu
0.000 0.000 0.000 Li
```

Energy relative to the lowest polymorph listed for this composition in meV/atom: 474
Size of the total moment in Bohr magnetons per cell: 0.0
Space-group type: No. 225
VASP energy in eV/atom: -2.8964
Calculated density in g/cm3: 3.934

***

Record 10
Below is a relaxed LiCuH2 crystal, with properties calculated at the GGA-PBE level.

Structure (POSCAR):
```
LiCuH2
1.0
4.268 0.000 0.000
0.000 4.268 0.000
2.134 2.134 3.764
H Cu Li
4 2 2
Direct
0.669 0.125 0.250 H
0.081 0.625 0.250 H
0.375 0.331 0.750 H
0.875 0.919 0.750 H
0.000 0.000 0.000 Cu
0.750 0.250 0.500 Cu
0.500 0.500 0.000 Li
0.250 0.750 0.500 Li
```

Energy relative to the lowest polymorph listed for this composition in meV/atom: 0
Size of the total moment in Bohr magnetons per cell: 0.0
Space-group type: No. 122
VASP energy in eV/atom: -3.3701
Calculated density in g/cm3: 3.512

***

Record 11
Below is a relaxed Li2MgCuH crystal, with properties calculated at the GGA-PBE level.

Structure (POSCAR):
```
Li2MgCuH
1.0
-0.344 3.934 0.344
-3.678 -0.193 -1.467
-1.477 -0.458 3.762
H Mg Cu Li
1 1 1 2
Direct
0.000 0.000 0.000 H
0.500 0.500 0.500 Mg
0.000 0.000 0.500 Cu
0.000 0.500 0.000 Li
0.500 0.000 0.000 Li
```

Energy relative to the lowest polymorph listed for this composition in meV/atom: 51
Size of the total moment in Bohr magnetons per cell: 0.0
Space-group type: No. 123
VASP energy in eV/atom: -2.6092
Calculated density in g/cm3: 2.669

***

Record 12
Below is a relaxed Li2MgCuH crystal, with properties calculated at the GGA-PBE level.

Structure (POSCAR):
```
Li2MgCuH
1.0
3.866 0.000 0.000
0.000 3.866 0.000
0.000 0.000 4.326
H Mg Cu Li
1 1 1 2
Direct
0.000 0.000 0.000 H
0.000 0.000 0.500 Mg
0.500 0.500 0.500 Cu
0.000 0.500 0.000 Li
0.500 0.000 0.000 Li
```

Energy relative to the lowest polymorph listed for this composition in meV/atom: 0
Size of the total moment in Bohr magnetons per cell: 0.0
Space-group type: No. 123
VASP energy in eV/atom: -2.6603
Calculated density in g/cm3: 2.639